Ta2AlBr | GGA-PBEsol | optimized geometry

Structure (POSCAR):
```
Ta2AlBr
1.0
2.9811 0.0000 0.0000
0.0000 2.9811 0.0000
0.0000 0.0000 8.5543
Ta Br Al
2 1 1
Cartesian
1.4906 1.4906 2.1390 Ta
0.0000 0.0000 8.5101 Ta
1.4906 1.4906 6.7777 Br
0.0000 0.0000 3.9588 Al
```

AlTc2Br | GGA-PBEsol | optimized geometry

Structure (POSCAR):
```
AlTc2Br
1.0
-3.7028 -1.2335 2.1086
-1.7120 -4.0323 -0.6989
0.1854 -3.0725 3.1944
Tc Al Br
2 1 1
Cartesian
0.0000 0.0000 0.0000 Tc
-3.9221 -6.2537 3.4531 Tc
-2.6147 -4.1692 2.3021 Al
-1.3074 -2.0846 1.1510 Br
```

AlTeBr2 | GGA-PBEsol | optimized geometry

Structure (POSCAR):
```
AlTeBr2
1.0
-0.0008 3.5059 -0.0495
-2.8198 1.7682 1.1026
2.6077 1.8841 9.2223
Al Br Te
1 2 1
Cartesian
0.0000 0.0000 0.0000 Al
-0.3359 1.7795 1.8621 Br
0.1230 5.3787 8.4133 Br
-0.1065 3.5791 5.1377 Te
```

AlTeBr2 | GGA-PBEsol | optimized geometry

Structure (POSCAR):
```
AlTeBr2
1.0
-0.4064 0.5557 4.8544
0.0022 -4.8983 0.2131
4.7583 2.1898 -2.1545
Br Al Te
2 1 1
Cartesian
2.1759 1.3728 1.3500 Br
2.3802 -1.3542 -0.9707 Br
0.0000 0.0000 0.0000 Al
-0.2021 -2.1713 2.5337 Te
```

AlTeBr2 | GGA-PBEsol | optimized geometry

Structure (POSCAR):
```
AlTeBr2
1.0
3.2530 0.0000 0.0000
0.0000 3.2530 0.0000
0.0000 0.0000 9.6562
Br Al Te
2 1 1
Cartesian
0.0000 0.0000 3.2082 Br
0.0000 0.0000 6.4480 Br
1.6265 1.6265 4.8281 Al
1.6265 1.6265 0.0000 Te
```

TiAl2Br8 | GGA-PBEsol | optimized geometry

Structure (POSCAR):
```
TiAl2Br8
1.0
8.1745 0.0000 0.0000
4.0873 9.1108 -0.2568
4.0873 1.3575 9.3552
Br Al Ti
16 4 2
Cartesian
6.0411 8.9619 1.8353 Br
10.3080 1.5065 7.2631 Br
5.9424 5.0665 6.3425 Br
6.0411 5.3831 2.4571 Br
4.1557 2.6094 4.3920 Br
10.4067 8.9432 1.5365 Br
8.2430 2.6248 0.1572 Br
5.9424 1.5252 7.5619 Br
8.1061 7.8435 8.9412 Br
8.3568 7.7799 4.9576 Br
12.4441 7.9226 8.6900 Br
7.9923 2.6884 4.1408 Br
10.4067 5.4018 2.7559 Br
12.1933 7.8590 4.7063 Br
10.3080 5.0852 6.6413 Br
3.9050 2.5457 0.4084 Br
14.3370 9.1520 8.8525 Al
10.2497 6.5505 4.7950 Al
6.0993 3.9178 4.3033 Al
2.0121 1.3163 0.2458 Al
12.2472 3.2959 6.9522 Ti
4.1019 7.1725 2.1462 Ti
```

TiAl2Br8 | GGA-PBEsol | optimized geometry

Structure (POSCAR):
```
TiAl2Br8
1.0
6.4027 0.0000 0.0000
0.0000 10.4694 0.0000
0.0000 0.0000 13.5129
Al Br Ti
4 16 2
Cartesian
3.9052 5.2347 2.3993 Al
5.6989 0.0000 9.1557 Al
2.4975 5.2347 11.1136 Al
0.7039 0.0000 4.3572 Al
1.6272 8.6466 5.5427 Br
1.5384 5.2347 2.2541 Br
1.5741 7.0575 12.2992 Br
4.8286 7.0575 1.2137 Br
4.7755 8.6466 7.9702 Br
4.8643 5.2347 11.2588 Br
4.7398 0.0000 4.5023 Br
1.5741 3.4119 12.2992 Br
1.6272 1.8228 5.5427 Br
4.4587 5.2347 4.5988 Br
1.9440 5.2347 8.9140 Br
1.6629 0.0000 9.0105 Br
4.8286 3.4119 1.2137 Br
4.7755 1.8228 7.9702 Br
5.1454 0.0000 11.3553 Br
1.2574 0.0000 2.1576 Br
0.0000 5.2347 0.0000 Ti
3.2014 0.0000 6.7564 Ti
```

AlTlBr | GGA-PBEsol | optimized geometry

Structure (POSCAR):
```
AlTlBr
1.0
5.0220 0.0000 0.0000
2.5110 4.3492 0.0000
2.5110 1.4497 4.1005
Al Br Tl
1 1 1
Cartesian
2.5110 1.4497 1.0251 Al
0.0000 0.0000 0.0000 Br
5.0220 2.8995 2.0502 Tl
```

| no. | ΔE_f (raw) (meV per atom) | Fermi-level density of states (states/eV per atom) |
| --- | --- | --- |
| 1 | 140 | 0.6654 |
| 2 | 788 | 1.3011 |
| 3 | -259 | 0.5735 |
| 4 | -37 | 0.5295 |
| 5 | -137 | 0.5741 |
| 6 | -1034 | 0.7312 |
| 7 | -1036 | 0.3991 |
| 8 | 150 | 1.1667 |